ZrAsNO2, relaxed, DFT PBE; E_form (uncorrected) = -0.736 eV per atom
1.0
-0.837 -3.779 1.218
0.944 -1.399 -3.691
4.221 -0.523 1.278
O As N Zr
2 1 1 1
direct
0.000 0.500 0.000
0.500 0.000 0.000
0.500 0.500 0.500
0.000 0.000 0.500
0.000 0.000 0.000

La2TcBr, relaxed, DFT PBE; E_form (uncorrected) = -0.320 eV per atom
1.0
3.552 0.000 0.000
0.000 5.304 0.000
0.000 0.000 5.304
Tc Br La
1 1 2
direct
0.500 0.500 0.000
0.500 0.000 0.500
0.000 0.500 0.500
0.000 0.000 0.000

AlCu2Rh2, relaxed, DFT PBE; E_form = -0.103 eV/atom
1.0
-2.885 -2.847 4.872
1.244 -5.658 -2.570
3.156 -0.123 1.797
Al Cu Rh
2 4 4
direct
0.500 0.500 0.000
0.000 0.000 0.000
0.655 0.845 0.500
0.155 0.655 0.500
0.345 0.155 0.500
0.845 0.345 0.500
0.355 0.855 0.000
0.145 0.355 0.000
0.645 0.145 0.000
0.855 0.645 0.000

PrZnGa3, relaxed, DFT PBE; E_form = -0.478 eV/atom
1.0
-0.081 1.113 4.176
-3.823 -1.963 0.459
0.529 -4.969 3.581
Pr Ga Zn
1 3 1
direct
0.401 0.204 0.904
0.150 0.452 0.407
0.648 0.953 0.407
0.790 0.593 0.126
0.019 0.823 0.667

P2IrPb, relaxed, DFT PBE; E_form = -0.072 eV/atom
1.0
6.020 0.000 0.000
0.000 6.020 0.000
3.010 3.010 5.359
P Ir Pb
4 2 2
direct
0.875 0.797 0.750
0.547 0.125 0.250
0.203 0.625 0.250
0.375 0.453 0.750
0.500 0.500 0.000
0.250 0.750 0.500
0.000 0.000 0.000
0.750 0.250 0.500

InCuPbS3, relaxed, DFT PBE; E_form (uncorrected) = -0.425 eV per atom
1.0
3.973 0.000 0.000
0.000 8.213 0.070
0.000 -2.095 8.185
S Pb In Cu
6 2 2 2
direct
0.750 0.223 0.531
0.250 0.112 0.861
0.750 0.435 0.157
0.250 0.777 0.469
0.750 0.888 0.139
0.250 0.565 0.843
0.250 0.172 0.227
0.750 0.828 0.773
0.750 0.341 0.842
0.250 0.659 0.158
0.250 0.079 0.568
0.750 0.921 0.432